<A>
A geometry-optimized Dy2CoPb structure, computed with PBE.

## Properties
- Magnetization: 0.000 Bohr magnetons per cell

Cell and atoms, written as CIF:
```
data_Dy2CoPb
_space_group_name_H-M_alt 'R -3 m'
_space_group_IT_number 166
_space_group_name_Hall '-R 3 2"'
_cell_length_a 3.7318
_cell_length_b 3.7318
_cell_length_c 28.5254
_cell_angle_alpha 90.00
_cell_angle_beta 90.00
_cell_angle_gamma 120.00
loop_
_atom_site_label
_atom_site_fract_x
_atom_site_fract_y
_atom_site_fract_z
_atom_site_occupancy
Dy1 0.0000 0.0000 0.1138 1
Co1 0.0000 0.0000 0.5000 1
Pb1 0.0000 0.0000 0.0000 1
```

<B>
A geometry-optimized Dy2CoPb structure, computed with PBE.

## Properties
- Magnetization: 0.050 Bohr magnetons per cell

Cell and atoms, written as CIF:
```
data_Dy2CoPb
_space_group_name_H-M_alt 'P 4/m m m'
_space_group_IT_number 123
_space_group_name_Hall '-P 4 2'
_cell_length_a 3.4234
_cell_length_b 3.4234
_cell_length_c 7.9987
_cell_angle_alpha 90.00
_cell_angle_beta 90.00
_cell_angle_gamma 90.00
loop_
_atom_site_label
_atom_site_fract_x
_atom_site_fract_y
_atom_site_fract_z
_atom_site_occupancy
Dy1 0.0000 0.0000 0.2009 1
Co1 0.5000 0.5000 0.0000 1
Pb1 0.5000 0.5000 0.5000 1
```

It is <A> that is the least stable of them.

<A>
A geometry-optimized Dy8CoPd2 structure, computed with PBE.

## Properties
- Magnetization: 0.001 Bohr magnetons per cell

Cell and atoms, written as CIF:
```
data_Dy8CoPd2
_space_group_name_H-M_alt 'C 1 m 1'
_space_group_IT_number 8
_space_group_name_Hall 'C -2y'
_cell_length_a 8.3592
_cell_length_b 12.7028
_cell_length_c 6.1006
_cell_angle_alpha 90.00
_cell_angle_beta 113.12
_cell_angle_gamma 90.00
loop_
_atom_site_label
_atom_site_fract_x
_atom_site_fract_y
_atom_site_fract_z
_atom_site_occupancy
Dy1 0.0000 0.0000 0.0000 1
Dy2 0.0723 0.3717 0.7852 1
Dy3 0.1412 0.1285 0.5524 1
Dy4 0.2071 0.5000 0.3695 1
Dy5 0.3510 0.1901 0.1803 1
Co1 0.3501 0.0000 0.3843 1
Pd1 0.3617 0.3122 0.6834 1
```

<B>
A geometry-optimized Dy8CoPd2 structure, computed with PBE.

## Properties
- Magnetization: 0.002 Bohr magnetons per cell

Cell and atoms, written as CIF:
```
data_Dy8CoPd2
_space_group_name_H-M_alt 'C 1 2/m 1'
_space_group_IT_number 12
_space_group_name_Hall '-C 2y'
_cell_length_a 17.1588
_cell_length_b 5.0650
_cell_length_c 6.6864
_cell_angle_alpha 90.00
_cell_angle_beta 105.01
_cell_angle_gamma 90.00
loop_
_atom_site_label
_atom_site_fract_x
_atom_site_fract_y
_atom_site_fract_z
_atom_site_occupancy
Dy1 0.0312 0.0000 0.2907 1
Dy2 0.0885 0.5000 0.9375 1
Dy3 0.1614 0.5000 0.4732 1
Dy4 0.2034 0.0000 0.8185 1
Co1 0.0000 0.5000 0.5000 1
Pd1 0.1896 0.0000 0.2266 1
```

It is <A> that is the least stable of them.

<A>
A geometry-optimized Dy4CoPd structure, computed with PBE.

## Properties
- Magnetization: 0.000 Bohr magnetons per cell

Cell and atoms, written as CIF:
```
data_Dy4CoPd
_space_group_name_H-M_alt 'C 1 2/c 1'
_space_group_IT_number 15
_space_group_name_Hall '-C 2yc'
_cell_length_a 8.7525
_cell_length_b 13.9487
_cell_length_c 6.6485
_cell_angle_alpha 90.00
_cell_angle_beta 128.28
_cell_angle_gamma 90.00
loop_
_atom_site_label
_atom_site_fract_x
_atom_site_fract_y
_atom_site_fract_z
_atom_site_occupancy
Dy1 0.1567 0.2137 0.1551 1
Dy2 0.2443 0.0346 0.7493 1
Co1 0.0000 0.0849 0.2500 1
Pd1 0.0000 0.3695 0.7500 1
```

<B>
A geometry-optimized Dy4CoPd structure, computed with PBE.

## Properties
- Magnetization: 0.000 Bohr magnetons per cell

Cell and atoms, written as CIF:
```
data_Dy4CoPd
_space_group_name_H-M_alt 'P 4/m c c'
_space_group_IT_number 124
_space_group_name_Hall '-P 4 2c'
_cell_length_a 6.8273
_cell_length_b 6.8273
_cell_length_c 6.2648
_cell_angle_alpha 90.00
_cell_angle_beta 90.00
_cell_angle_gamma 90.00
loop_
_atom_site_label
_atom_site_fract_x
_atom_site_fract_y
_atom_site_fract_z
_atom_site_occupancy
Dy1 0.1714 0.3088 0.0000 1
Co1 0.0000 0.0000 0.2500 1
Pd1 0.5000 0.5000 0.2500 1
```

It is <A> that is the least stable of them.

<A>
A geometry-optimized PmDy3Co structure, computed with PBE.

## Properties
- Magnetization: 0.000 Bohr magnetons per cell

Cell and atoms, written as CIF:
```
data_PmDy3Co
_space_group_name_H-M_alt 'P 1 21/c 1'
_space_group_IT_number 14
_space_group_name_Hall '-P 2ybc'
_cell_length_a 7.8300
_cell_length_b 7.3752
_cell_length_c 9.9274
_cell_angle_alpha 90.00
_cell_angle_beta 107.22
_cell_angle_gamma 90.00
loop_
_atom_site_label
_atom_site_fract_x
_atom_site_fract_y
_atom_site_fract_z
_atom_site_occupancy
Pm1 0.1808 0.0570 0.2527 1
Dy1 0.0899 0.6993 0.0351 1
Dy2 0.2918 0.5041 0.3869 1
Dy3 0.4244 0.1282 0.6120 1
Co1 0.4497 0.7456 0.6037 1
```

<B>
A geometry-optimized PmDy3Co structure, computed with PBE.

## Properties
- Magnetization: 0.002 Bohr magnetons per cell

Cell and atoms, written as CIF:
```
data_PmDy3Co
_space_group_name_H-M_alt 'C 1 2/m 1'
_space_group_IT_number 12
_space_group_name_Hall '-C 2y'
_cell_length_a 11.6624
_cell_length_b 8.2580
_cell_length_c 8.1907
_cell_angle_alpha 90.00
_cell_angle_beta 133.92
_cell_angle_gamma 90.00
loop_
_atom_site_label
_atom_site_fract_x
_atom_site_fract_y
_atom_site_fract_z
_atom_site_occupancy
Pm1 0.0477 0.0000 0.3362 1
Dy1 0.0471 0.5000 0.2519 1
Dy2 0.2491 0.2964 0.7942 1
Co1 0.2477 0.5000 0.1128 1
```

It is <A> that is the least stable of them.